[1]
VASP calculation (PBE with a Hubbard U) on a relaxed structure of PaVInO6.

Results
As for the theoretical density: 7.03 g cm⁻³. The value obtained for the total energy is -7.889 eV/atom. As for the space-group type: P-31c.

Cell: 5.294 5.294 9.586 Å, 90.00 90.00 120.00°
Sites, in units of the cell vectors:
Pa 0.000 0.000 0.000
Pa 0.000 0.000 0.500
V 0.667 0.333 0.250
V 0.333 0.667 0.750
In 0.333 0.667 0.250
In 0.667 0.333 0.750
O 0.676 0.645 0.133
O 0.969 0.324 0.133
O 0.324 0.969 0.633
O 0.031 0.676 0.867
O 0.355 0.324 0.367
O 0.969 0.645 0.367
O 0.645 0.969 0.867
O 0.676 0.031 0.367
O 0.031 0.355 0.633
O 0.355 0.031 0.133
O 0.645 0.676 0.633
O 0.324 0.355 0.867

=====

[2]
VASP calculation (PBE with a Hubbard U) on a relaxed structure of PaInWO6.

Results
As for the theoretical density: 6.30 g cm⁻³. The value obtained for the total energy is -7.829 eV/atom. As for the space-group type: P-31c.

Cell: 5.680 5.680 11.806 Å, 90.00 90.00 120.00°
Sites, in units of the cell vectors:
Pa 0.333 0.667 0.250
Pa 0.667 0.333 0.750
In 0.000 0.000 0.000
In 0.000 0.000 0.500
W 0.667 0.333 0.250
W 0.333 0.667 0.750
O 0.628 0.599 0.157
O 0.971 0.372 0.157
O 0.372 0.971 0.657
O 0.029 0.628 0.843
O 0.401 0.372 0.343
O 0.971 0.599 0.343
O 0.599 0.971 0.843
O 0.628 0.029 0.343
O 0.029 0.401 0.657
O 0.401 0.029 0.157
O 0.599 0.628 0.657
O 0.372 0.401 0.843

=====

| no. | DOS(E_F) (states/eV/cell) |
| --- | --- |
| 1 | 10.4 |
| 2 | 0.0 |